Record 1
Material: Fe3Co5
Method: DFT, SCAN
State: single point on PBEsol structure

Lattice parameters (Å, degrees): 4.5974 4.5974 5.6362 107.84 107.84 50.35
Closest atoms and distances in Å follow each position.
Positions (direct):
1 Fe 0.0000 0.0000 0.0000  5 Co 2.39-2.42, 3 Fe 2.40-2.42
2 Fe 0.2468 0.2468 0.8719  6 Co 2.36-2.40, 2 Fe 2.40-2.46
3 Fe 0.5014 0.5014 0.2540  5 Co 2.39-2.43, 3 Fe 2.42-2.46
4 Co 0.2517 0.2517 0.3719  2 Fe 2.39-2.41, 6 Co 2.40-2.44
5 Co 0.4934 0.4934 0.7538  3 Fe 2.36-2.39, 5 Co 2.40-2.46
6 Co 0.7485 0.7485 0.6260  4 Fe 2.39-2.42, 4 Co 2.42-2.46
7 Co 0.7502 0.7502 0.1195  4 Fe 2.39-2.43, 4 Co 2.41-2.42
8 Co 0.9985 0.9985 0.4977  3 Fe 2.39-2.40, 5 Co 2.41-2.44

Computed properties:
formation enthalpy at 0 K: -0.105 eV/atom
crystal system: monoclinic
Fermi-level density of states: 0.6649 states/eV per atom

Record 2
Material: LiAl2Ag
Method: DFT, SCAN
State: single point on PBEsol structure

Lattice parameters (Å, degrees): 4.4593 4.4593 4.4593 60.00 60.00 60.00
Closest atoms and distances in Å follow each position.
Positions (direct):
1 Li 0.0000 0.0000 0.0000  4 Al 2.73, 4 Ag 2.73
2 Al 0.5000 0.5000 0.5000  4 Al 2.73, 4 Ag 2.73
3 Al 0.7500 0.7500 0.7500  4 Al 2.73, 4 Li 2.73
4 Ag 0.2500 0.2500 0.2500  4 Al 2.73, 4 Li 2.73

Computed properties:
formation enthalpy at 0 K: -0.150 eV/atom
crystal system: cubic
Fermi-level density of states: 0.2514 states/eV per atom

Record 3
Material: CaSiAs2
Method: DFT, SCAN
State: single point on PBEsol structure

Lattice parameters (Å, degrees): 6.2779 6.2779 6.2779 113.86 113.86 101.01
Closest atoms and distances in Å follow each position.
Positions (direct):
1 Ca 0.0000 0.0000 0.0000  4 As 2.95
2 Ca 0.7500 0.2500 0.5000  4 As 2.95
3 Si 0.2500 0.7500 0.5000  4 As 2.34
4 Si 0.5000 0.5000 0.0000  4 As 2.34
5 As 0.1945 0.1250 0.5695  2 Si 2.34
6 As 0.3750 0.8055 0.9305  2 Si 2.34
7 As 0.5555 0.6250 0.4305  2 Si 2.34
8 As 0.8750 0.4445 0.0695  2 Si 2.34

Computed properties:
E_form (uncorrected): -0.658 eV/atom
crystal system: tetragonal

Record 4
Material: V6GeOs
Method: DFT, SCAN
State: single point on PBEsol structure

Lattice parameters (Å, degrees): 4.7126 4.7126 4.7126 90.00 90.00 90.00
Closest atoms and distances in Å follow each position.
Positions (direct):
1 V 0.0000 0.2473 0.5000  2 V 2.33-2.38
2 V 0.0000 0.7527 0.5000  2 V 2.33-2.38
3 V 0.2473 0.5000 0.0000  2 V 2.33-2.38
4 V 0.5000 0.0000 0.2473  2 V 2.33-2.38
5 V 0.5000 0.0000 0.7527  2 V 2.33-2.38
6 V 0.7527 0.5000 0.0000  2 V 2.33-2.38
7 Ge 0.5000 0.5000 0.5000  12 V 2.64
8 Os 0.0000 0.0000 0.0000  12 V 2.63

Computed properties:
formation enthalpy at 0 K: -0.426 eV/atom
crystal system: cubic
Fermi-level density of states: 0.6962 states/eV per atom

Number 1: M_tot 17.520 μB per formula unit. Number 2: M_tot 0.000 μB per formula unit. Number 3: M_tot 0.000 μB per formula unit. Number 4: M_tot 0.000 μB per formula unit.